Here is a relaxed VO2F crystal from Alexandria via LeMat-Bulk. Energies are from PBE+U.

Cell: 5.042 5.101 9.061 Å, 90.00 90.00 90.00°
Positions (direct):
V (0.390, 0.356, 0.626)
F (0.866, 0.102, 0.877)
V (0.610, 0.856, 0.874)
O (0.879, 0.655, 0.993)
O (0.621, 0.345, 0.493)
F (0.134, 0.602, 0.623)
O (0.077, 0.900, 0.247)
F (0.634, 0.898, 0.377)
O (0.923, 0.400, 0.253)
O (0.379, 0.845, 0.007)
F (0.366, 0.398, 0.123)
O (0.121, 0.155, 0.507)
V (0.890, 0.144, 0.374)
O (0.577, 0.600, 0.753)
V (0.110, 0.644, 0.126)
O (0.423, 0.100, 0.747)

Computed properties:
E = -6.796 eV/atom